No. 1
The following is a DFT calculation (PBE) of a relaxed structure of TiB2Pd.

Computed properties:
V (Å³/cell): 43.3
Density (g cm⁻³): 6.75
SG: Fm-3m (225)
Energy relative to the elements (eV/atom): 0.204

a = 3.940 Å, b = 3.940 Å, c = 3.940 Å
α = 60.00°, β = 60.00°, γ = 60.00°
Fractional positions:
Ti1 0.000 0.000 0.000
B1 0.250 0.250 0.250
B2 0.750 0.750 0.750
Pd1 0.500 0.500 0.500

***

No. 2
The following is a DFT calculation (PBE) of a relaxed structure of Ti3BPd.

Computed properties:
V (Å³/cell): 76.7
Density (g cm⁻³): 5.64
SG: Pm-3m (221)
Energy relative to the elements (eV/atom): -0.255

a = 4.250 Å, b = 4.250 Å, c = 4.250 Å
α = 90.00°, β = 90.00°, γ = 90.00°
Fractional positions:
Ti1 0.000 0.000 0.500
Ti2 0.000 0.500 0.000
Ti3 0.500 0.000 0.000
B1 0.000 0.000 0.000
Pd1 0.500 0.500 0.500

***

No. 3
The following is a DFT calculation (PBE) of a relaxed structure of Ti3BPd.

Computed properties:
V (Å³/cell): 102.6
Density (g cm⁻³): 4.22
SG: Pm-3m (221)
Energy relative to the elements (eV/atom): 1.279

a = 4.682 Å, b = 4.682 Å, c = 4.682 Å
α = 90.00°, β = 90.00°, γ = 90.00°
Fractional positions:
Ti1 0.000 0.000 0.500
Ti2 0.000 0.500 0.000
Ti3 0.500 0.000 0.000
B1 0.500 0.500 0.500
Pd1 0.000 0.000 0.000

***

No. 4
The following is a DFT calculation (PBE) of a relaxed structure of Ti4BPd2.

Computed properties:
V (Å³/cell): 114.5
Density (g cm⁻³): 6.02
SG: I4/mmm (139)
Energy relative to the elements (eV/atom): -0.220

a = 7.088 Å, b = 7.088 Å, c = 7.088 Å
α = 145.35°, β = 145.35°, γ = 49.81°
Fractional positions:
Ti1 0.000 0.500 0.500
Ti2 0.171 0.171 0.000
Ti3 0.500 0.000 0.500
Ti4 0.829 0.829 0.000
B1 0.000 0.000 0.000
Pd1 0.361 0.361 0.000
Pd2 0.639 0.639 0.000

***

No. 5
The following is a DFT calculation (PBE) of a relaxed structure of Ti2BPd.

Computed properties:
V (Å³/cell): 123.6
Density (g cm⁻³): 5.72
SG: I-42d (122)
Energy relative to the elements (eV/atom): -0.003

a = 5.763 Å, b = 5.763 Å, c = 5.763 Å
α = 98.14°, β = 98.14°, γ = 135.79°
Fractional positions:
Ti1 0.000 0.125 0.375
Ti2 0.375 0.000 0.125
Ti3 0.750 0.625 0.625
Ti4 0.875 0.250 0.875
B1 0.000 0.000 0.000
B2 0.750 0.250 0.500
Pd1 0.250 0.750 0.500
Pd2 0.500 0.500 0.000

***

No. 6
The following is a DFT calculation (PBE) of a relaxed structure of Zr2TiBPd.

Computed properties:
V (Å³/cell): 98.2
Density (g cm⁻³): 5.88
SG: P4/mmm (123)
Energy relative to the elements (eV/atom): 0.853

a = 4.904 Å, b = 4.904 Å, c = 4.082 Å
α = 90.00°, β = 90.00°, γ = 90.00°
Fractional positions:
Zr1 0.000 0.500 0.000
Zr2 0.500 0.000 0.000
Ti1 0.000 0.000 0.000
B1 0.000 0.000 0.500
Pd1 0.500 0.500 0.500

***

No. 7
The following is a DFT calculation (PBE) of a relaxed structure of Tl2BPd6.

Computed properties:
V (Å³/cell): 145.2
Density (g cm⁻³): 12.10
SG: P-3m1 (164)
Energy relative to the elements (eV/atom): -0.259

a = 5.856 Å, b = 5.856 Å, c = 4.891 Å
α = 90.00°, β = 90.00°, γ = 120.00°
Fractional positions:
Tl1 0.333 0.667 0.259
Tl2 0.667 0.333 0.741
B1 0.000 0.000 0.500
Pd1 0.167 0.334 0.756
Pd2 0.167 0.833 0.756
Pd3 0.334 0.167 0.244
Pd4 0.666 0.833 0.756
Pd5 0.833 0.167 0.244
Pd6 0.833 0.666 0.244

***

No. 8
The following is a DFT calculation (PBE) of a relaxed structure of TlBPd6.

Computed properties:
V (Å³/cell): 129.8
Density (g cm⁻³): 10.92
SG: R-3m (166)
Energy relative to the elements (eV/atom): -0.117

a = 5.149 Å, b = 5.149 Å, c = 5.149 Å
α = 99.76°, β = 99.76°, γ = 99.76°
Fractional positions:
Tl1 0.000 0.000 0.000
B1 0.500 0.500 0.500
Pd1 0.214 0.214 0.591
Pd2 0.214 0.591 0.214
Pd3 0.409 0.786 0.786
Pd4 0.591 0.214 0.214
Pd5 0.786 0.409 0.786
Pd6 0.786 0.786 0.409

***

No. 9
The following is a DFT calculation (PBE) of a relaxed structure of TlB2Pd2.

Computed properties:
V (Å³/cell): 70.9
Density (g cm⁻³): 10.27
SG: I4/mmm (139)
Energy relative to the elements (eV/atom): 0.141

a = 7.786 Å, b = 7.786 Å, c = 7.786 Å
α = 157.18°, β = 157.18°, γ = 32.49°
Fractional positions:
Tl1 0.000 0.000 0.000
B1 0.250 0.750 0.500
B2 0.750 0.250 0.500
Pd1 0.351 0.351 0.000
Pd2 0.649 0.649 0.000

***

No. 10
The following is a DFT calculation (PBE) of a relaxed structure of TlB2Pd8.

Computed properties:
V (Å³/cell): 160.3
Density (g cm⁻³): 11.16
SG: C2/m (12)
Energy relative to the elements (eV/atom): -0.142

a = 6.364 Å, b = 6.364 Å, c = 4.359 Å
α = 97.09°, β = 97.09°, γ = 111.47°
Fractional positions:
Tl1 0.000 0.000 0.000
B1 0.322 0.678 0.500
B2 0.678 0.322 0.500
Pd1 0.063 0.334 0.585
Pd2 0.262 0.738 0.000
Pd3 0.334 0.063 0.585
Pd4 0.395 0.395 0.212
Pd5 0.605 0.605 0.788
Pd6 0.666 0.937 0.415
Pd7 0.738 0.262 0.000
Pd8 0.937 0.666 0.415

***

No. 11
The following is a DFT calculation (PBE) of a relaxed structure of Tl3B2Pd9.

Computed properties:
V (Å³/cell): 222.8
Density (g cm⁻³): 11.87
SG: P-3m1 (164)
Energy relative to the elements (eV/atom): -0.245

a = 5.942 Å, b = 5.942 Å, c = 7.288 Å
α = 90.00°, β = 90.00°, γ = 120.00°
Fractional positions:
Tl1 0.000 0.000 0.000
Tl2 0.333 0.667 0.338
Tl3 0.667 0.333 0.662
B1 0.333 0.667 0.816
B2 0.667 0.333 0.184
Pd1 0.000 0.500 0.000
Pd2 0.164 0.327 0.663
Pd3 0.164 0.836 0.663
Pd4 0.327 0.164 0.337
Pd5 0.500 0.000 0.000
Pd6 0.500 0.500 0.000
Pd7 0.673 0.836 0.663
Pd8 0.836 0.164 0.337
Pd9 0.836 0.673 0.337

***

No. 12
The following is a DFT calculation (PBE) of a relaxed structure of TmBPd3.

Computed properties:
V (Å³/cell): 79.2
Density (g cm⁻³): 10.46
SG: Pm-3m (221)
Energy relative to the elements (eV/atom): -0.640

a = 4.295 Å, b = 4.295 Å, c = 4.295 Å
α = 90.00°, β = 90.00°, γ = 90.00°
Fractional positions:
Tm1 0.000 0.000 0.000
B1 0.500 0.500 0.500
Pd1 0.000 0.500 0.500
Pd2 0.500 0.000 0.500
Pd3 0.500 0.500 0.000

***

No. 13
The following is a DFT calculation (PBE) of a relaxed structure of TmB2Pd7.

Computed properties:
V (Å³/cell): 160.3
Density (g cm⁻³): 9.69
SG: Cmmm (65)
Energy relative to the elements (eV/atom): -0.295

a = 6.436 Å, b = 6.436 Å, c = 4.170 Å
α = 90.00°, β = 90.00°, γ = 111.90°
Fractional positions:
Tm1 0.000 0.000 0.000
B1 0.290 0.710 0.500
B2 0.710 0.290 0.500
Pd1 0.055 0.323 0.500
Pd2 0.323 0.055 0.500
Pd3 0.323 0.677 0.000
Pd4 0.500 0.500 0.500
Pd5 0.677 0.323 0.000
Pd6 0.677 0.945 0.500
Pd7 0.945 0.677 0.500

***

No. 14
The following is a DFT calculation (PBE) of a relaxed structure of TmBPd.

Computed properties:
V (Å³/cell): 186.0
Density (g cm⁻³): 10.22
SG: Pnma (62)
Energy relative to the elements (eV/atom): -0.471

a = 9.185 Å, b = 3.387 Å, c = 5.978 Å
α = 90.00°, β = 90.00°, γ = 90.00°
Fractional positions:
Tm1 0.245 0.250 0.114
Tm2 0.255 0.750 0.614
Tm3 0.745 0.250 0.386
Tm4 0.755 0.750 0.886
B1 0.052 0.750 0.951
B2 0.448 0.250 0.451
B3 0.552 0.750 0.549
B4 0.948 0.250 0.049
Pd1 0.002 0.250 0.692
Pd2 0.498 0.750 0.192
Pd3 0.502 0.250 0.808
Pd4 0.998 0.750 0.308

***

No. 15
The following is a DFT calculation (PBE) of a relaxed structure of TmB2Pd8.

Computed properties:
V (Å³/cell): 161.1
Density (g cm⁻³): 10.74
SG: C2/m (12)
Energy relative to the elements (eV/atom): -0.378

a = 6.464 Å, b = 6.464 Å, c = 4.209 Å
α = 97.41°, β = 97.41°, γ = 109.91°
Fractional positions:
Tm1 0.000 0.000 0.000
B1 0.328 0.672 0.500
B2 0.672 0.328 0.500
Pd1 0.058 0.329 0.584
Pd2 0.264 0.736 0.000
Pd3 0.329 0.058 0.584
Pd4 0.390 0.390 0.207
Pd5 0.610 0.610 0.793
Pd6 0.671 0.942 0.416
Pd7 0.736 0.264 0.000
Pd8 0.942 0.671 0.416

***

No. 16
The following is a DFT calculation (PBE) of a relaxed structure of Tm2BPd8.

Computed properties:
V (Å³/cell): 179.4
Density (g cm⁻³): 11.11
SG: Immm (71)
Energy relative to the elements (eV/atom): -0.610

a = 7.615 Å, b = 7.615 Å, c = 7.615 Å
α = 144.18°, β = 135.55°, γ = 58.35°
Fractional positions:
Tm1 0.188 0.188 0.000
Tm2 0.812 0.812 0.000
B1 0.500 0.500 0.000
Pd1 0.136 0.383 0.753
Pd2 0.258 0.000 0.258
Pd3 0.313 0.813 0.500
Pd4 0.370 0.617 0.753
Pd5 0.630 0.383 0.247
Pd6 0.687 0.187 0.500
Pd7 0.742 0.000 0.742
Pd8 0.864 0.617 0.247

***

No. 17
The following is a DFT calculation (PBE) of a relaxed structure of TmB4Pd.

Computed properties:
V (Å³/cell): 248.9
Density (g cm⁻³): 8.50
SG: Pbam (55)
Energy relative to the elements (eV/atom): -0.459

a = 5.949 Å, b = 11.555 Å, c = 3.621 Å
α = 90.00°, β = 90.00°, γ = 90.00°
Fractional positions:
Tm1 0.130 0.149 0.000
Tm2 0.370 0.649 0.000
Tm3 0.630 0.351 0.000
Tm4 0.870 0.851 0.000
B1 0.022 0.694 0.500
B2 0.114 0.549 0.500
B3 0.134 0.968 0.500
B4 0.207 0.813 0.500
B5 0.293 0.313 0.500
B6 0.366 0.468 0.500
B7 0.386 0.049 0.500
B8 0.478 0.194 0.500
B9 0.522 0.806 0.500
B10 0.614 0.951 0.500
B11 0.634 0.532 0.500
B12 0.707 0.687 0.500
B13 0.793 0.187 0.500
B14 0.866 0.032 0.500
B15 0.886 0.451 0.500
B16 0.978 0.306 0.500
Pd1 0.141 0.406 0.000
Pd2 0.359 0.906 0.000
Pd3 0.641 0.094 0.000
Pd4 0.859 0.594 0.000

***

No. 18
The following is a DFT calculation (PBE) of a relaxed structure of TmBPd6.

Computed properties:
V (Å³/cell): 131.1
Density (g cm⁻³): 10.37
SG: R-3m (166)
Energy relative to the elements (eV/atom): -0.380

a = 5.179 Å, b = 5.179 Å, c = 5.179 Å
α = 100.43°, β = 100.43°, γ = 100.43°
Fractional positions:
Tm1 0.000 0.000 0.000
B1 0.500 0.500 0.500
Pd1 0.214 0.214 0.591
Pd2 0.214 0.591 0.214
Pd3 0.409 0.786 0.786
Pd4 0.591 0.214 0.214
Pd5 0.786 0.409 0.786
Pd6 0.786 0.786 0.409

***

No. 19
The following is a DFT calculation (PBE) of a relaxed structure of VB2Pd.

Computed properties:
V (Å³/cell): 40.7
Density (g cm⁻³): 7.30
SG: Fm-3m (225)
Energy relative to the elements (eV/atom): 0.326

a = 3.861 Å, b = 3.861 Å, c = 3.861 Å
α = 60.00°, β = 60.00°, γ = 60.00°
Fractional positions:
V1 0.000 0.000 0.000
B1 0.250 0.250 0.250
B2 0.750 0.750 0.750
Pd1 0.500 0.500 0.500

***

No. 20
The following is a DFT calculation (PBE) of a relaxed structure of VBPd3.

Computed properties:
V (Å³/cell): 96.5
Density (g cm⁻³): 6.55
SG: Pm-3m (221)
Energy relative to the elements (eV/atom): 1.560

a = 4.587 Å, b = 4.587 Å, c = 4.587 Å
α = 90.00°, β = 90.00°, γ = 90.00°
Fractional positions:
V1 0.000 0.000 0.000
B1 0.500 0.500 0.500
Pd1 0.000 0.000 0.500
Pd2 0.000 0.500 0.000
Pd3 0.500 0.000 0.000